Entry 1:
ZnHg2Mo at its PBEsol-relaxed geometry. Source: Alexandria, functional SCAN.

Properties
- electronic total energy (eV per cell) = -728.4
- formation energy from the elements (meV per atom) = 656

Unit cell a=6.5669 b=6.5669 c=6.5669 alpha=90.00 beta=90.00 gamma=90.00
Space group F-43m (No. 216)
Asymmetric unit:
Zn: 0.0000 0.0000 0.0000 (multiplicity 4)
Hg: 0.0000 0.0000 0.5000 (multiplicity 4)
Hg: 0.2500 0.2500 0.2500 (multiplicity 4)
Mo: 0.2500 0.2500 0.7500 (multiplicity 4)

=====

Entry 2:
SiMo3O at its PBEsol-relaxed geometry. Source: Alexandria, functional SCAN.

Properties
- electronic total energy (eV per cell) = -121.8
- formation energy (no corrections) (eV per atom) = -0.19

Unit cell a=4.0328 b=4.0328 c=4.0328 alpha=90.00 beta=90.00 gamma=90.00
Space group Pm-3m (No. 221)
Asymmetric unit:
Si: 0.0000 0.0000 0.0000 (multiplicity 1)
Mo: 0.0000 0.5000 0.5000 (multiplicity 3)
O: 0.5000 0.5000 0.5000 (multiplicity 1)

=====

Entry 3:
SmDy3 at its PBEsol-relaxed geometry. Source: Alexandria, functional SCAN.

Properties
- electronic total energy (eV per cell) = -375.5
- formation energy from the elements (meV per atom) = 17
- energy above the lowest structure with this stoichiometry (meV per atom) = 2.0

Unit cell a=4.9282 b=4.9282 c=9.8602 alpha=90.00 beta=90.00 gamma=90.00
Space group I4/mmm (No. 139)
Asymmetric unit:
Sm: 0.0000 0.0000 0.0000 (multiplicity 2)
Dy: 0.0000 0.0000 0.5000 (multiplicity 2)
Dy: 0.0000 0.5000 0.2500 (multiplicity 4)

=====

Entry 4:
RbHgCl2 at its PBEsol-relaxed geometry. Source: Alexandria, functional SCAN.

Properties
- electronic total energy (eV per cell) = -436.8
- formation energy (no corrections) (eV per atom) = -1.08

Unit cell a=6.2516 b=6.2516 c=15.7338 alpha=90.00 beta=90.00 gamma=90.00
Space group I-42d (No. 122)
Asymmetric unit:
Rb: 0.0000 0.0000 0.0000 (multiplicity 4)
Hg: 0.0000 0.0000 0.5000 (multiplicity 4)
Cl: 0.1814 0.2500 0.6250 (multiplicity 8)

=====

| no. | spin magnetization (μB per atom) |
| --- | --- |
| 1 | 0.692 |
| 2 | 0.000 |
| 3 | 0.001 |
| 4 | 0.000 |